This record from the Alexandria database describes an optimized crystal structure of Pm8ThPb6. The functional is GGA-PBE.

a b c (Å): 9.395 9.395 8.606
angles (deg): 56.92 56.92 60.00
Positions (direct):
Pb1 0.268 0.594 0.205
Pb2 0.067 0.732 0.795
Pb3 0.732 0.406 0.795
Pb4 0.406 0.067 0.795
Pb5 0.933 0.268 0.205
Pb6 0.594 0.933 0.205
Th1 0.000 0.000 0.000
Pm1 0.774 0.106 0.689
Pm2 0.106 0.432 0.689
Pm3 0.894 0.568 0.311
Pm4 0.432 0.774 0.689
Pm5 0.226 0.894 0.311
Pm6 0.568 0.226 0.311
Pm7 0.333 0.333 0.001
Pm8 0.667 0.667 0.999

Computed properties:
E_form: -0.356 eV/atom
SG: R-3
DFT total energy: -4.867 eV/atom
Magnetic moment: 0.0 μB/cell

This record from the Alexandria database describes an optimized crystal structure of Pm6ThPb6. The functional is GGA-PBE.

a b c (Å): 7.356 7.356 9.465
angles (deg): 90.00 90.00 120.00
Positions (direct):
Pm1 0.500 0.000 0.745
Pm2 0.000 0.500 0.255
Pm3 0.000 0.500 0.745
Pm4 0.500 0.500 0.745
Pm5 0.500 0.000 0.255
Pm6 0.500 0.500 0.255
Pb1 0.333 0.667 0.500
Pb2 0.667 0.333 0.500
Pb3 0.000 0.000 0.664
Pb4 0.000 0.000 0.336
Pb5 0.667 0.333 0.000
Pb6 0.333 0.667 0.000
Th1 0.000 0.000 0.000

Computed properties:
E_form: -0.264 eV/atom
SG: P6/mmm
DFT total energy: -4.739 eV/atom
Magnetic moment: 0.0 μB/cell

This record from the Alexandria database describes an optimized crystal structure of PmTh2Pb4. The functional is GGA-PBE.

a b c (Å): 3.579 6.011 11.424
angles (deg): 106.58 99.01 90.00
Site moments in Bohr magnetons follow the coordinates.
Positions (direct):
Pm1 0.000 0.000 0.000  0.13
Pb1 0.379 0.713 0.758  0.00
Pb2 0.621 0.287 0.242  0.00
Pb3 0.885 0.233 0.770  0.00
Pb4 0.115 0.767 0.230  0.00
Th1 0.750 0.751 0.500  0.00
Th2 0.250 0.249 0.500  0.00

Computed properties:
E_form: -0.140 eV/atom
SG: C2/m
DFT total energy: -5.058 eV/atom
Magnetic moment: 0.2 μB/cell

This record from the Alexandria database describes an optimized crystal structure of PmTh2Pb9. The functional is GGA-PBE.

a b c (Å): 4.911 4.911 14.737
angles (deg): 90.00 90.00 90.00
Positions (direct):
Pb1 0.500 0.500 0.667
Pb2 0.000 0.500 0.500
Pb3 0.500 0.000 0.833
Pb4 0.500 0.500 0.333
Pb5 0.000 0.500 0.167
Pb6 0.000 0.500 0.833
Pb7 0.500 0.000 0.500
Pb8 0.500 0.000 0.167
Pb9 0.500 0.500 0.000
Pm1 0.000 0.000 0.000
Th1 0.000 0.000 0.664
Th2 0.000 0.000 0.336

Computed properties:
E_form: -0.269 eV/atom
SG: P4/mmm
DFT total energy: -4.682 eV/atom
Magnetic moment: 0.0 μB/cell

This record from the Alexandria database describes an optimized crystal structure of Pm12ThPb6. The functional is GGA-PBE.

a b c (Å): 9.216 9.216 9.216
angles (deg): 107.54 107.54 107.54
Positions (direct):
Pm1 0.107 0.664 0.971
Pm2 0.331 0.420 0.081
Pm3 0.420 0.081 0.331
Pm4 0.336 0.029 0.893
Pm5 0.919 0.669 0.580
Pm6 0.971 0.107 0.664
Pm7 0.081 0.331 0.420
Pm8 0.669 0.580 0.919
Pm9 0.893 0.336 0.029
Pm10 0.580 0.919 0.669
Pm11 0.029 0.893 0.336
Pm12 0.664 0.971 0.107
Pb1 0.351 0.228 0.664
Pb2 0.772 0.336 0.649
Pb3 0.664 0.351 0.228
Pb4 0.649 0.772 0.336
Pb5 0.228 0.664 0.351
Pb6 0.336 0.649 0.772
Th1 0.000 0.000 0.000

Computed properties:
E_form: -0.167 eV/atom
SG: R-3
DFT total energy: -4.729 eV/atom
Magnetic moment: 0.0 μB/cell

This record from the Alexandria database describes an optimized crystal structure of Pm3ThPb3. The functional is GGA-PBE.

a b c (Å): 9.425 9.425 8.393
angles (deg): 55.84 55.84 60.00
Site moments in Bohr magnetons follow the coordinates.
Positions (direct):
Pb1 0.465 0.079 0.760  -0.01
Pb2 0.921 0.303 0.240  -0.01
Pb3 0.697 0.465 0.760  -0.01
Pb4 0.535 0.921 0.240  -0.01
Pb5 0.303 0.535 0.240  -0.01
Pb6 0.079 0.697 0.760  -0.01
Pm1 0.093 0.349 0.735  0.06
Pm2 0.907 0.651 0.265  0.06
Pm3 0.651 0.176 0.265  0.06
Pm4 0.349 0.824 0.735  0.06
Pm5 0.176 0.907 0.265  0.06
Pm6 0.824 0.093 0.735  0.06
Th1 0.333 0.333 0.000  0.12
Th2 0.667 0.667 0.000  0.12

Computed properties:
E_form: -0.314 eV/atom
SG: R-3
DFT total energy: -4.999 eV/atom
Magnetic moment: 1.3 μB/cell

This record from the Alexandria database describes an optimized crystal structure of PmThPb2. The functional is GGA-PBE.

a b c (Å): 4.553 4.634 6.410
angles (deg): 90.00 110.83 90.00
Positions (direct):
Th1 0.452 0.500 0.443
Pb1 0.983 0.000 0.504
Pb2 0.182 0.500 0.904
Pm1 0.714 0.000 0.968

Computed properties:
E_form: -0.411 eV/atom
SG: Amm2
DFT total energy: -5.308 eV/atom
Magnetic moment: 0.0 μB/cell

This record from the Alexandria database describes an optimized crystal structure of Pm4ThPb2. The functional is GGA-PBE.

a b c (Å): 6.098 6.098 7.634
angles (deg): 113.54 113.54 90.00
Positions (direct):
Pb1 0.635 0.635 0.270
Pb2 0.365 0.365 0.730
Pm1 0.000 0.500 0.000
Pm2 0.250 0.750 0.500
Pm3 0.500 0.000 0.000
Pm4 0.750 0.250 0.500
Th1 0.000 0.000 0.000

Computed properties:
E_form: 0.121 eV/atom
SG: I4/mmm
DFT total energy: -4.713 eV/atom
Magnetic moment: 0.0 μB/cell

> Which of these has the lowest DFT total energy?

PmThPb2